[1]
Pr5Tl2Au | PBE | optimized geometry

The structure in CIF format:
```
data_Pr5Tl2Au
_cell_length_a 11.585
_cell_length_b 7.285
_cell_length_c 7.285
_cell_angle_alpha 90.00
_cell_angle_beta 128.92
_cell_angle_gamma 90.00
_symmetry_space_group_name_H-M 'C 1 m 1'
_symmetry_Int_Tables_number 8
_symmetry_space_group_name_Hall 'C -2y'
loop_
_atom_site_label
_atom_site_fract_x
_atom_site_fract_y
_atom_site_fract_z
Pr1 0.000 0.000 0.000
Pr2 0.256 0.248 0.008
Pr3 0.256 0.248 0.505
Tl1 0.006 0.000 0.506
Tl2 0.006 0.500 0.006
Au1 0.030 0.500 0.529
```

Properties
Energy of formation (eV per formula unit): -2.4
Density (g cm⁻³): 9.1
Excess energy over the best structure of this formula in the dataset (eV/atom): 0.0816
Uncorrected energy (eV per atom): -4.292


[2]
PrTlAu | PBE | optimized geometry

The structure in CIF format:
```
data_PrTlAu
_cell_length_a 9.686
_cell_length_b 4.001
_cell_length_c 8.516
_cell_angle_alpha 90.00
_cell_angle_beta 90.67
_cell_angle_gamma 90.00
_symmetry_space_group_name_H-M 'C 1 2/m 1'
_symmetry_Int_Tables_number 12
_symmetry_space_group_name_Hall '-C 2y'
loop_
_atom_site_label
_atom_site_fract_x
_atom_site_fract_y
_atom_site_fract_z
Pr1 0.064 0.000 0.214
Tl1 0.147 0.500 0.575
Au1 0.146 0.500 0.947
```

Properties
Energy of formation (eV per formula unit): -1.5
Density (g cm⁻³): 10.9
Uncorrected energy (eV per atom): -3.987


| no. | DOS at the Fermi energy (states/eV per atom) | magnetic moment (μB per formula unit) |
| --- | --- | --- |
| 1 | 1.283 | 0.00 |
| 2 | 0.427 | 0.00 |